(1)
Density functional theory data (GGA-PBE) for a relaxed structure of CaAc2Cu2.

Summary:
Crystal system = orthorhombic

Geometry as POSCAR:
```
CaAc2Cu2
1.0
4.1953 0.0000 0.0000
0.0000 4.4256 -1.2582
0.0000 -0.0454 8.2529
Ca Ac Cu
1 2 2
Cartesian
0.0000 0.0000 0.0000
2.0977 2.8485 1.6071
2.0977 1.5316 5.3876
0.0000 0.8917 3.1368
0.0000 3.4884 3.8579
```

---

(2)
Density functional theory data (GGA-PBE) for a relaxed structure of CaAc2Cu2.

Summary:
Crystal system = monoclinic

Geometry as POSCAR:
```
CaAc2Cu2
1.0
-2.4639 1.0472 -3.5254
-4.5996 -3.2476 2.2500
-0.2279 12.0792 3.7472
Ca Ac Cu
2 4 4
Cartesian
-4.4058 0.1518 1.7347
-2.8856 9.7270 0.7372
-4.3568 8.3601 4.1386
-2.9346 1.5186 -1.6668
-2.0904 5.9250 1.8313
-5.2010 3.9537 0.6405
-4.7459 5.1805 3.4661
-2.5455 4.6982 -0.9943
-2.5665 10.9001 3.6418
-4.7249 -1.0213 -1.1700
```

---

Most stable structure: (1)

---

(1)
Density functional theory data (GGA-PBE) for a relaxed structure of CaAcCuNi.

Summary:
Crystal system = orthorhombic

Geometry as POSCAR:
```
CaAcCuNi
1.0
-0.9668 -0.0353 4.0313
-3.2617 -2.5411 -0.8045
3.8408 -4.5340 -1.2503
Ca Ac Cu Ni
1 1 1 1
Cartesian
0.1969 -0.2669 0.0449
-0.4121 -3.5959 2.0015
1.4404 -5.4344 0.2979
2.2119 -2.9987 0.5042
```

---

(2)
Density functional theory data (GGA-PBE) for a relaxed structure of CaAcCuNi.

Summary:
Crystal system = cubic

Geometry as POSCAR:
```
CaAcCuNi
1.0
5.1344 0.0000 0.0000
2.5672 4.4466 0.0000
2.5672 1.4822 4.1923
Ni Ac Ca Cu
1 1 1 1
Cartesian
7.7017 4.4466 3.1442
0.0000 0.0000 0.0000
5.1344 2.9644 2.0961
2.5672 1.4822 1.0481
```

---

Most stable structure: (1)

---

(1)
Density functional theory data (GGA-PBE) for a relaxed structure of CaAcCuRh.

Summary:
Crystal system = cubic

Geometry as POSCAR:
```
CaAcCuRh
1.0
-3.2855 -0.9039 -3.8472
-2.5363 -4.4646 -0.2178
-5.0554 -0.1307 0.9154
Ac Rh Ca Cu
1 1 1 1
Cartesian
0.0000 0.0000 0.0000
-8.1579 -4.1244 -2.3622
-5.4386 -2.7496 -1.5748
-2.7193 -1.3748 -0.7874
```

---

(2)
Density functional theory data (GGA-PBE) for a relaxed structure of CaAcCuRh.

Summary:
Crystal system = orthorhombic

Geometry as POSCAR:
```
CaAcCuRh
1.0
4.1301 0.0000 0.0000
0.0000 4.2720 0.0000
-2.0651 0.0000 5.7023
Ca Ac Cu Rh
1 1 1 1
Cartesian
0.0000 0.0000 1.5785
2.0651 2.1360 4.1281
2.0651 2.1360 0.8117
0.0000 0.0000 4.8862
```

---

Most stable structure: (2)

---

(1)
Density functional theory data (GGA-PBE) for a relaxed structure of CaAcCuSi.

Summary:
Crystal system = trigonal

Geometry as POSCAR:
```
CaAcCuSi
1.0
-4.0918 0.7674 -0.3666
1.3414 -3.8996 0.6784
1.8142 1.9593 7.6658
Ca Ac Cu Si
1 1 1 1
Cartesian
-0.6674 0.8651 2.8038
-1.3604 -0.9188 6.7885
-1.0226 -1.7647 1.2712
-2.8299 -0.2201 0.8459
```

---

(2)
Density functional theory data (GGA-PBE) for a relaxed structure of CaAcCuSi.

Summary:
Crystal system = cubic

Geometry as POSCAR:
```
CaAcCuSi
1.0
-1.6446 -3.4890 3.5774
3.2610 -3.7632 1.6972
1.8903 0.1736 4.9064
Ac Si Ca Cu
1 1 1 1
Cartesian
0.8767 -1.7696 2.5452
1.7533 -3.5393 5.0905
2.6300 -5.3089 7.6357
0.0000 0.0000 0.0000
```

---

Most stable structure: (1)

---

(1)
Density functional theory data (GGA-PBE) for a relaxed structure of Ca2AcDy.

Summary:
Crystal system = monoclinic

Geometry as POSCAR:
```
Ca2AcDy
1.0
-2.4429 -2.0495 2.1251
4.2271 -4.9103 0.1363
6.7813 -2.5654 5.3359
Ca Ac Dy
2 1 1
Cartesian
8.1608 -6.6918 4.1494
4.8697 -5.3139 5.1465
4.1003 -4.6406 1.4647
0.7644 -3.2088 2.4583
```

---

(2)
Density functional theory data (GGA-PBE) for a relaxed structure of Ca2AcDy.

Summary:
Crystal system = tetragonal

Geometry as POSCAR:
```
Ca2AcDy
1.0
4.2480 0.0000 0.0000
0.0000 4.2480 0.0000
0.0000 0.0000 8.6409
Ac Ca Dy
1 2 1
Cartesian
2.1240 2.1240 0.0000
0.0000 0.0000 6.3037
0.0000 0.0000 2.3372
2.1240 2.1240 4.3205
```

---

(3)
Density functional theory data (GGA-PBE) for a relaxed structure of Ca2AcDy.

Summary:
Crystal system = trigonal

Geometry as POSCAR:
```
Ca2AcDy
1.0
-2.7356 1.0732 -2.2534
-2.7323 -2.3520 -0.8460
-8.8752 3.9392 9.6079
Ac Ca Dy
1 2 1
Cartesian
-7.1716 1.3302 3.2543
-7.0732 2.8238 6.8889
-7.2700 -0.1634 -0.3804
0.0000 0.0000 0.0000
```

---

Most stable structure: (1)

---

(1)
Density functional theory data (GGA-PBE) for a relaxed structure of CaAcLaDy.

Summary:
Crystal system = cubic

Geometry as POSCAR:
```
CaAcLaDy
1.0
-2.4772 -4.0152 -3.7327
3.0882 -4.8999 -1.6266
-1.6392 -5.4097 2.0590
Ac La Ca Dy
1 1 1 1
Cartesian
-0.5141 -7.1624 -1.6501
0.0000 0.0000 0.0000
-0.2570 -3.5812 -0.8251
-0.7711 -10.7436 -2.4752
```

---

(2)
Density functional theory data (GGA-PBE) for a relaxed structure of CaAcLaDy.

Summary:
Crystal system = trigonal

Geometry as POSCAR:
```
CaAcLaDy
1.0
-2.9705 -1.9544 1.3172
3.5008 -1.4185 0.3322
1.2151 5.5792 11.0179
Ca Ac La Dy
1 1 1 1
Cartesian
0.5298 2.4327 4.8040
-0.6080 -0.8329 2.8508
2.4537 3.4995 10.7254
0.0139 2.0229 8.4905
```

---

Most stable structure: (2)

---

(1)
Density functional theory data (GGA-PBE) for a relaxed structure of CaAcPmDy.

Summary:
Crystal system = tetragonal

Geometry as POSCAR:
```
CaAcPmDy
1.0
-3.5628 0.0061 -1.2613
-0.8023 -2.9272 2.2520
-2.7392 6.7292 7.7722
Ca Ac Pm Dy
1 1 1 1
Cartesian
-5.2950 5.6232 7.6682
-3.1432 2.2604 7.2335
-3.8319 2.0286 3.5162
-1.8574 -0.8976 3.5878
```

---

(2)
Density functional theory data (GGA-PBE) for a relaxed structure of CaAcPmDy.

Summary:
Crystal system = cubic

Geometry as POSCAR:
```
CaAcPmDy
1.0
-5.6391 -1.6673 -1.0269
-1.3937 -2.8625 -5.0495
-1.4788 -5.7812 0.1570
Ac Pm Ca Dy
1 1 1 1
Cartesian
0.0000 0.0000 0.0000
-4.2558 -5.1555 -2.9597
-6.3837 -7.7332 -4.4395
-2.1279 -2.5777 -1.4798
```

---

Most stable structure: (1)

---

(1)
Density functional theory data (GGA-PBE) for a relaxed structure of CaAcEr2.

Summary:
Crystal system = tetragonal

Geometry as POSCAR:
```
CaAcEr2
1.0
3.7759 0.0000 0.0000
0.0000 3.7759 0.0000
0.0000 0.0000 10.2167
Ac Ca Er
1 1 2
Cartesian
1.8880 1.8880 0.0000
1.8880 1.8880 5.1084
0.0000 0.0000 7.7150
0.0000 0.0000 2.5018
```

---

(2)
Density functional theory data (GGA-PBE) for a relaxed structure of CaAcEr2.

Summary:
Crystal system = trigonal

Geometry as POSCAR:
```
CaAcEr2
1.0
3.6482 0.0000 0.0000
1.8241 3.1594 0.0000
1.8241 1.0531 12.7993
Ac Ca Er
1 1 2
Cartesian
3.6482 2.1063 6.3997
0.0000 0.0000 0.0000
1.8241 1.0531 9.3851
5.4723 3.1594 3.4143
```

---

(3)
Density functional theory data (GGA-PBE) for a relaxed structure of CaAcEr2.

Summary:
Crystal system = trigonal

Geometry as POSCAR:
```
CaAcEr2
1.0
-3.0467 2.0425 -0.5959
-1.9982 -0.5023 -3.0926
-8.3457 -7.7780 4.4230
Ca Ac Er
1 1 2
Cartesian
-6.6882 -3.1101 0.3613
-3.3708 1.0174 -2.4526
-6.7031 -5.7343 3.0297
-3.3237 -1.5297 0.1633
```

---

Most stable structure: (3)

---

(1)
Density functional theory data (GGA-PBE) for a relaxed structure of CaAcEr2.

Summary:
Crystal system = tetragonal

Geometry as POSCAR:
```
CaAcEr2
1.0
5.4092 0.0000 0.0000
0.0000 5.1667 0.0000
0.0000 0.0000 5.1667
Ac Ca Er
1 1 2
Cartesian
2.7046 2.5834 2.5834
2.7046 0.0000 0.0000
0.0000 0.0000 2.5834
0.0000 2.5834 0.0000
```

---

(2)
Density functional theory data (GGA-PBE) for a relaxed structure of CaAcEr2.

Summary:
Crystal system = cubic

Geometry as POSCAR:
```
CaAcEr2
1.0
5.8963 0.0000 0.0000
2.9482 5.1064 0.0000
2.9482 1.7021 4.8143
Ac Ca Er
1 1 2
Cartesian
0.0000 0.0000 0.0000
5.8963 3.4043 2.4072
2.9482 1.7021 1.2036
8.8445 5.1064 3.6108
```

---

Most stable structure: (1)

---

(1)
Density functional theory data (GGA-PBE) for a relaxed structure of CaAcEr.

Summary:
Crystal system = tetragonal

Geometry as POSCAR:
```
CaAcEr
1.0
3.8315 0.0000 0.0000
0.0000 3.8315 0.0000
-1.9158 -1.9158 7.9269
Ac Ca Er
1 1 1
Cartesian
1.9158 1.9158 2.8056
1.9158 1.9158 7.8115
0.0000 0.0000 5.2366
```

---

(2)
Density functional theory data (GGA-PBE) for a relaxed structure of CaAcEr.

Summary:
Crystal system = orthorhombic

Geometry as POSCAR:
```
CaAcEr
1.0
3.7327 0.0000 -0.5477
0.0000 6.0060 0.0000
-0.3754 0.0000 10.4351
Ca Ac Er
2 2 2
Cartesian
2.7180 1.5015 5.5300
0.6394 4.5045 4.3574
3.0417 4.5045 7.7364
0.3156 1.5015 2.1510
1.3463 1.5015 9.1750
2.0111 4.5045 0.7124
```

---

(3)
Density functional theory data (GGA-PBE) for a relaxed structure of CaAcEr.

Summary:
Crystal system = orthorhombic

Geometry as POSCAR:
```
CaAcEr
1.0
-3.6514 -0.5133 -0.5599
1.5279 -9.1372 -1.5874
-0.8392 -1.2977 6.6621
Ac Ca Er
2 2 2
Cartesian
-1.7070 -2.5455 1.0443
-1.2557 -8.4027 3.4704
-0.3971 -2.3625 4.7552
1.0858 -8.0724 0.3194
0.3444 -5.2175 2.5373
0.7640 -4.5686 -0.7937
```

---

Most stable structure: (2)

---

(1)
Density functional theory data (GGA-PBE) for a relaxed structure of CaAc2Er.

Summary:
Crystal system = trigonal

Geometry as POSCAR:
```
CaAc2Er
1.0
3.7315 0.0000 0.0000
1.8658 3.2316 0.0000
1.8658 1.0772 13.5027
Ac Ca Er
2 1 1
Cartesian
1.8658 1.0772 10.0992
5.5973 3.2316 3.4035
3.7315 2.1544 6.7513
0.0000 0.0000 0.0000
```

---

(2)
Density functional theory data (GGA-PBE) for a relaxed structure of CaAc2Er.

Summary:
Crystal system = tetragonal

Geometry as POSCAR:
```
CaAc2Er
1.0
-3.7298 -1.8782 0.9212
1.3755 -0.7830 3.9728
-3.2782 7.8227 2.6767
Ac Ca Er
2 1 1
Cartesian
-2.5204 6.0145 2.0580
-0.7577 1.8082 0.6187
-2.8162 2.5807 3.7853
-1.1772 -1.3306 2.4470
```

---

Most stable structure: (2)

---

(1)
Density functional theory data (GGA-PBE) for a relaxed structure of CaAc2Er.

Summary:
Crystal system = cubic

Geometry as POSCAR:
```
CaAc2Er
1.0
6.0899 0.0000 0.0000
3.0450 5.2740 0.0000
3.0450 1.7580 4.9724
Ac Ca Er
2 1 1
Cartesian
3.0450 1.7580 1.2431
9.1349 5.2740 3.7293
0.0000 0.0000 0.0000
6.0899 3.5160 2.4862
```

---

(2)
Density functional theory data (GGA-PBE) for a relaxed structure of CaAc2Er.

Summary:
Crystal system = trigonal

Geometry as POSCAR:
```
CaAc2Er
1.0
3.8486 0.0000 0.0000
1.9243 3.3330 0.0000
1.9243 1.1110 12.5440
Ca Ac Er
1 2 1
Cartesian
3.8486 2.2220 6.2841
1.9243 1.1110 9.5976
1.9243 1.1110 2.9398
5.7730 3.3330 12.5386
```

---

(3)
Density functional theory data (GGA-PBE) for a relaxed structure of CaAc2Er.

Summary:
Crystal system = tetragonal

Geometry as POSCAR:
```
CaAc2Er
1.0
4.9183 0.0000 0.0000
0.0000 5.6948 0.0000
0.0000 0.0000 5.6948
Ac Ca Er
2 1 1
Cartesian
0.0000 0.0000 2.8474
0.0000 2.8474 0.0000
2.4591 0.0000 0.0000
2.4591 2.8474 2.8474
```

---

Most stable structure: (2)